Entry 1:
This record from Alexandria describes an optimized crystal structure of Tb2MnZn2Rh5. The functional is PBE.

Computed properties:
* energy relative to the elements: -491.0 meV per atom
* calculated total energy: -6.2645 eV per atom

a b c (Å): 9.6296 9.6296 3.6214
angles (deg): 90.00 90.00 90.00
Last column: nearest neighbours and their distance in Å.
Space group P4/mbm (No. 127)
Inequivalent atoms, fractional coordinates:
Tb: 0.1740 0.3260 0.0000 x4  3 Zn 2.74-2.91, 2 Rh 2.98
Mn: 0.0000 0.0000 0.0000 x2  8 Rh 2.72
Zn: 0.1247 0.6247 0.0000 x4  6 Rh 2.48-2.54, 1 Tb 2.74
Rh: 0.0000 0.5000 0.5000 x2  4 Zn 2.48
Rh: 0.0666 0.7999 0.5000 x8  2 Zn 2.54, 2 Mn 2.72

***

Entry 2:
This record from Alexandria describes an optimized crystal structure of MnTcRh4. The functional is PBE.

Computed properties:
* energy relative to the elements: 312.0 meV per atom
* calculated total energy: -7.8449 eV per atom

a b c (Å): 7.1649 7.1649 7.1649
angles (deg): 90.00 90.00 90.00
Last column: nearest neighbours and their distance in Å.
Space group F-43m (No. 216)
Inequivalent atoms, fractional coordinates:
Mn: 0.0000 0.0000 0.0000 x4  12 Rh 2.97, 4 Tc 3.10
Tc: 0.2500 0.2500 0.2500 x4  12 Rh 2.97, 4 Mn 3.10
Rh: 0.1251 0.1251 0.6251 x16  6 Rh 2.53-2.54

***

Entry 3:
This record from Alexandria describes an optimized crystal structure of Mn2TcRh. The functional is PBE.

Computed properties:
* energy relative to the elements: -42.7 meV per atom
* calculated total energy: -9.0568 eV per atom

a b c (Å): 3.7368 3.7368 7.5797
angles (deg): 90.00 90.00 90.00
Last column: nearest neighbours and their distance in Å.
Space group I-4m2 (No. 119)
Inequivalent atoms, fractional coordinates:
Mn: 0.0000 0.0000 0.0000 x2  4 Rh 2.64, 4 Mn 2.66, 4 Tc 2.66
Mn: 0.0000 0.5000 0.2500 x2  4 Tc 2.64, 4 Mn 2.66, 4 Rh 2.66
Tc: 0.0000 0.5000 0.7500 x2  8 Mn 2.64-2.66, 4 Rh 2.66
Rh: 0.0000 0.0000 0.5000 x2  8 Mn 2.64-2.66, 4 Tc 2.66

***

Entry 4:
This record from Alexandria describes an optimized crystal structure of Mn2TcRh. The functional is PBE.

Computed properties:
* energy relative to the elements: 13.0 meV per atom
* calculated total energy: -9.0012 eV per atom

a b c (Å): 3.7727 3.7727 3.6229
angles (deg): 90.00 90.00 90.00
Last column: nearest neighbours and their distance in Å.
Space group P4/mmm (No. 123)
Inequivalent atoms, fractional coordinates:
Mn: 0.0000 0.5000 0.0000 x2  4 Tc 2.62, 4 Rh 2.62, 4 Mn 2.67
Tc: 0.0000 0.0000 0.5000 x1  8 Mn 2.62, 4 Rh 2.67
Rh: 0.5000 0.5000 0.5000 x1  8 Mn 2.62, 4 Tc 2.67

***

Entry 5:
This record from Alexandria describes an optimized crystal structure of Mn4TcRh. The functional is PBE.

Computed properties:
* energy relative to the elements: -3.8 meV per atom
* calculated total energy: -9.0698 eV per atom

a b c (Å): 6.6074 6.6074 6.6074
angles (deg): 90.00 90.00 90.00
Last column: nearest neighbours and their distance in Å.
Space group F-43m (No. 216)
Inequivalent atoms, fractional coordinates:
Mn: 0.1236 0.1236 0.1236 x16  6 Mn 2.31-2.36
Tc: 0.0000 0.0000 0.5000 x4  12 Mn 2.74, 4 Rh 2.86
Rh: 0.2500 0.2500 0.7500 x4  12 Mn 2.74, 4 Tc 2.86

***

Entry 6:
This record from Alexandria describes an optimized crystal structure of MnTcRh. The functional is PBE.

Computed properties:
* energy relative to the elements: 0.2 meV per atom
* energy relative to the lowest polymorph listed for this composition: 2.5 meV per atom
* calculated total energy: -8.9621 eV per atom

a b c (Å): 2.6880 3.7650 8.1232
angles (deg): 90.00 90.00 90.00
Last column: nearest neighbours and their distance in Å.
Space group Imm2 (No. 44)
Inequivalent atoms, fractional coordinates:
Mn: 0.0000 0.0000 0.0000 x2  5 Tc 2.66-2.75, 5 Rh 2.68-2.71, 2 Mn 2.69
Tc: 0.0000 0.0000 0.3386 x2  5 Mn 2.66-2.75, 5 Rh 2.67-2.70, 2 Tc 2.69
Rh: 0.0000 0.0000 0.6669 x2  5 Tc 2.67-2.70, 5 Mn 2.68-2.71, 2 Rh 2.69

***

Entry 7:
This record from Alexandria describes an optimized crystal structure of Mn2TcRh. The functional is PBE.

Computed properties:
* energy relative to the elements: -1.9 meV per atom
* calculated total energy: -9.0160 eV per atom

a b c (Å): 4.0529 2.6417 9.6538
angles (deg): 90.00 90.00 90.00
Last column: nearest neighbours and their distance in Å.
Space group Amm2 (No. 38)
Inequivalent atoms, fractional coordinates:
Mn: 0.0000 0.0000 0.0000 x2  2 Mn 2.32, 1 Rh 2.57
Mn: 0.5000 0.0000 0.1181 x2  2 Mn 2.32, 1 Tc 2.55
Tc: 0.5000 0.0000 0.3827 x2  7 Mn 2.55-2.67, 2 Tc 2.64, 4 Rh 2.81
Rh: 0.0000 0.0000 0.7337 x2  7 Mn 2.57-2.66, 2 Rh 2.64, 4 Tc 2.81

***

Entry 8:
This record from Alexandria describes an optimized crystal structure of Mn2TcRh. The functional is PBE.

Computed properties:
* energy relative to the elements: -60.0 meV per atom
* calculated total energy: -9.0741 eV per atom

a b c (Å): 3.0037 3.0037 6.0977
angles (deg): 90.00 90.00 90.00
Last column: nearest neighbours and their distance in Å.
Space group P4/mmm (No. 123)
Inequivalent atoms, fractional coordinates:
Mn: 0.0000 0.0000 0.2477 x2  4 Tc 2.61, 4 Rh 2.62
Tc: 0.5000 0.5000 0.0000 x1  8 Mn 2.61
Rh: 0.5000 0.5000 0.5000 x1  8 Mn 2.62

***

Entry 9:
This record from Alexandria describes an optimized crystal structure of MnTcRh6. The functional is PBE.

Computed properties:
* energy relative to the elements: -120.8 meV per atom
* calculated total energy: -8.0763 eV per atom

a b c (Å): 3.8278 3.8278 7.6975
angles (deg): 90.00 90.00 90.00
Last column: nearest neighbours and their distance in Å.
Space group P4/mmm (No. 123)
Inequivalent atoms, fractional coordinates:
Mn: 0.0000 0.0000 0.0000 x1  12 Rh 2.71-2.73
Tc: 0.0000 0.0000 0.5000 x1  12 Rh 2.69-2.71
Rh: 0.0000 0.5000 0.2537 x4  2 Tc 2.69, 8 Rh 2.69-2.73, 2 Mn 2.73
Rh: 0.5000 0.5000 0.0000 x1  4 Mn 2.71, 8 Rh 2.73
Rh: 0.5000 0.5000 0.5000 x1  8 Rh 2.69, 4 Tc 2.71

***

Entry 10:
This record from Alexandria describes an optimized crystal structure of Mn2TcRh. The functional is PBE.

Computed properties:
* energy relative to the elements: -6.6 meV per atom
* calculated total energy: -9.0207 eV per atom

a b c (Å): 8.8740 2.7100 4.5551
angles (deg): 90.00 100.93 90.00
Last column: nearest neighbours and their distance in Å.
Space group Cm (No. 8)
Inequivalent atoms, fractional coordinates:
Mn: 0.0000 0.0000 0.0000 x2  5 Mn 2.61-2.71, 4 Tc 2.63-2.67, 3 Rh 2.70-2.71
Mn: 0.2458 0.5000 0.2256 x2  5 Mn 2.61-2.71, 4 Rh 2.63-2.68, 3 Tc 2.69-2.73
Tc: 0.4958 0.0000 0.4941 x2  3 Rh 2.63-2.67, 7 Mn 2.63-2.73, 2 Tc 2.71
Rh: 0.2486 0.0000 0.7330 x2  7 Mn 2.63-2.71, 3 Tc 2.63-2.67, 2 Rh 2.71

***

Entry 11:
This record from Alexandria describes an optimized crystal structure of Mn2TcRh. The functional is PBE.

Computed properties:
* energy relative to the elements: 81.7 meV per atom
* calculated total energy: -8.9325 eV per atom

a b c (Å): 8.6060 2.6373 4.6323
angles (deg): 90.00 99.81 90.00
Last column: nearest neighbours and their distance in Å.
Space group C2/m (No. 12)
Inequivalent atoms, fractional coordinates:
Mn: 0.2484 0.0000 0.2518 x4  3 Tc 2.59-2.63, 3 Rh 2.61-2.63, 6 Mn 2.64-2.68
Tc: 0.0000 0.0000 0.5000 x2  6 Mn 2.59-2.63, 2 Tc 2.64, 4 Rh 2.67
Rh: 0.0000 0.5000 0.0000 x2  6 Mn 2.61-2.63, 2 Rh 2.64, 4 Tc 2.67

***

Entry 12:
This record from Alexandria describes an optimized crystal structure of Mn2TcRh. The functional is PBE.

Computed properties:
* energy relative to the elements: 33.7 meV per atom
* calculated total energy: -8.9804 eV per atom

a b c (Å): 3.7799 3.7799 7.2313
angles (deg): 90.00 90.00 90.00
Last column: nearest neighbours and their distance in Å.
Space group I4/mmm (No. 139)
Inequivalent atoms, fractional coordinates:
Mn: 0.0000 0.5000 0.2500 x4  4 Tc 2.62, 4 Rh 2.62, 4 Mn 2.67
Tc: 0.0000 0.0000 0.0000 x2  8 Mn 2.62, 4 Rh 2.67
Rh: 0.0000 0.0000 0.5000 x2  8 Mn 2.62, 4 Tc 2.67

***

Entry 13:
This record from Alexandria describes an optimized crystal structure of MnTcRh. The functional is PBE.

Computed properties:
* energy relative to the elements: -2.3 meV per atom
* energy relative to the lowest polymorph listed for this composition: 0.0 meV per atom
* calculated total energy: -8.9646 eV per atom

a b c (Å): 2.6720 2.6720 11.4388
angles (deg): 90.00 90.00 90.00
Last column: nearest neighbours and their distance in Å.
Space group I4mm (No. 107)
Inequivalent atoms, fractional coordinates:
Mn: 0.0000 0.0000 0.0000 x2  4 Tc 2.67, 4 Rh 2.67, 4 Mn 2.67
Tc: 0.0000 0.0000 0.3352 x2  4 Mn 2.67, 4 Tc 2.67, 4 Rh 2.71
Rh: 0.0000 0.0000 0.6651 x2  4 Mn 2.67, 4 Rh 2.67, 4 Tc 2.71

***

Entry 14:
This record from Alexandria describes an optimized crystal structure of Mn2TcRh. The functional is PBE.

Computed properties:
* energy relative to the elements: 108.5 meV per atom
* calculated total energy: -8.9056 eV per atom

a b c (Å): 2.6378 2.6378 25.3223
angles (deg): 90.00 90.00 120.00
Last column: nearest neighbours and their distance in Å.
Space group R3m (No. 160, hexagonal axes)
Inequivalent atoms, fractional coordinates:
Mn: 0.0000 0.0000 0.0000 x3  9 Mn 2.45-2.64, 3 Rh 2.60
Mn: 0.0000 0.0000 0.2574 x3  9 Mn 2.45-2.64, 3 Tc 2.61
Tc: 0.0000 0.0000 0.5071 x3  3 Mn 2.61, 6 Tc 2.64, 3 Rh 2.75
Rh: 0.0000 0.0000 0.7500 x3  3 Mn 2.60, 6 Rh 2.64, 3 Tc 2.75

***

Entry 15:
This record from Alexandria describes an optimized crystal structure of Mn2TcRh. The functional is PBE.

Computed properties:
* energy relative to the elements: 533.0 meV per atom
* calculated total energy: -8.4811 eV per atom

a b c (Å): 6.6388 6.6388 5.3433
angles (deg): 90.00 90.00 90.00
Last column: nearest neighbours and their distance in Å.
Space group I-42d (No. 122)
Inequivalent atoms, fractional coordinates:
Mn: 0.2418 0.2500 0.1250 x8  2 Tc 2.40, 2 Rh 2.48, 2 Mn 2.67
Tc: 0.0000 0.0000 0.0000 x4  4 Mn 2.40, 2 Rh 2.67
Rh: 0.0000 0.0000 0.5000 x4  4 Mn 2.48, 2 Tc 2.67

***

Entry 16:
This record from Alexandria describes an optimized crystal structure of MnTcRh. The functional is PBE.

Computed properties:
* energy relative to the elements: 53.1 meV per atom
* energy relative to the lowest polymorph listed for this composition: 55.3 meV per atom
* calculated total energy: -8.9093 eV per atom

a b c (Å): 2.6888 2.6888 6.4932
angles (deg): 90.00 90.00 120.00
Last column: nearest neighbours and their distance in Å.
Space group P3m1 (No. 156)
Inequivalent atoms, fractional coordinates:
Mn: 0.0000 0.0000 0.0000 x1  3 Tc 2.60, 3 Rh 2.62, 6 Mn 2.69
Tc: 0.3333 0.6667 0.6793 x1  3 Mn 2.60, 6 Tc 2.69, 3 Rh 2.77
Rh: 0.6667 0.3333 0.3257 x1  3 Mn 2.62, 6 Rh 2.69, 3 Tc 2.77

***

Entry 17:
This record from Alexandria describes an optimized crystal structure of Mn2TcRh. The functional is PBE.

Computed properties:
* energy relative to the elements: 199.0 meV per atom
* calculated total energy: -8.8151 eV per atom

a b c (Å): 6.0140 6.0140 6.0140
angles (deg): 90.00 90.00 90.00
Last column: nearest neighbours and their distance in Å.
Space group F-43m (No. 216)
Inequivalent atoms, fractional coordinates:
Mn: 0.0000 0.0000 0.0000 x4  4 Mn 2.60, 4 Rh 2.60
Mn: 0.2500 0.2500 0.2500 x4  4 Mn 2.60, 4 Tc 2.60
Tc: 0.0000 0.0000 0.5000 x4  4 Mn 2.60, 4 Rh 2.60
Rh: 0.2500 0.2500 0.7500 x4  4 Tc 2.60, 4 Mn 2.60

***

Entry 18:
This record from Alexandria describes an optimized crystal structure of Mn2TcRh. The functional is PBE.

Computed properties:
* energy relative to the elements: 43.4 meV per atom
* calculated total energy: -8.9707 eV per atom

a b c (Å): 2.6518 3.6569 5.3568
angles (deg): 90.00 90.00 90.00
Last column: nearest neighbours and their distance in Å.
Space group Pmmm (No. 47)
Inequivalent atoms, fractional coordinates:
Mn: 0.0000 0.0000 0.2491 x2  4 Tc 2.62, 4 Rh 2.63, 4 Mn 2.65-2.69
Tc: 0.5000 0.5000 0.0000 x1  8 Mn 2.62, 2 Tc 2.65, 2 Rh 2.68
Rh: 0.5000 0.5000 0.5000 x1  8 Mn 2.63, 2 Rh 2.65, 2 Tc 2.68

***

Entry 19:
This record from Alexandria describes an optimized crystal structure of Mn2TcRh. The functional is PBE.

Computed properties:
* energy relative to the elements: 121.3 meV per atom
* calculated total energy: -8.8928 eV per atom

a b c (Å): 2.6487 2.6487 25.4392
angles (deg): 90.00 90.00 120.00
Last column: nearest neighbours and their distance in Å.
Space group R-3m (No. 166, hexagonal axes)
Inequivalent atoms, fractional coordinates:
Mn: 0.0000 0.0000 0.2502 x6  3 Rh 2.61, 3 Tc 2.62, 6 Mn 2.65
Tc: 0.0000 0.0000 0.5000 x3  6 Mn 2.62, 6 Tc 2.65
Rh: 0.0000 0.0000 0.0000 x3  6 Mn 2.61, 6 Rh 2.65

***

Entry 20:
This record from Alexandria describes an optimized crystal structure of Mn2TcRh. The functional is PBE.

Computed properties:
* energy relative to the elements: -20.2 meV per atom
* calculated total energy: -9.0343 eV per atom

a b c (Å): 2.6767 3.7447 5.3039
angles (deg): 90.00 90.00 90.00
Last column: nearest neighbours and their distance in Å.
Space group Pmm2 (No. 25)
Inequivalent atoms, fractional coordinates:
Mn: 0.0000 0.0000 0.0000 x1  2 Rh 2.61-2.70, 6 Mn 2.61-2.68, 4 Tc 2.67
Mn: 0.5000 0.5000 0.2316 x1  2 Tc 2.58-2.72, 6 Mn 2.61-2.68, 4 Rh 2.68
Tc: 0.5000 0.5000 0.7453 x1  6 Mn 2.58-2.72, 4 Rh 2.67, 2 Tc 2.68
Rh: 0.0000 0.0000 0.4912 x1  6 Mn 2.61-2.70, 4 Tc 2.67, 2 Rh 2.68